# 1
A geometry-optimized Ni5Pt2Rh5 structure, computed with PBE.

a = 5.9926 Å, b = 5.9926 Å, c = 8.4486 Å
α = 115.51°, β = 115.51°, γ = 36.04°
Fractional coordinates of all 12 atoms:
Ni 0.0000 0.0000 0.0000
Ni 0.0808 0.0808 0.7441
Ni 0.1653 0.1653 0.5001
Ni 0.8347 0.8347 0.4999
Ni 0.9192 0.9192 0.2559
Pt 0.3392 0.3392 0.0052
Pt 0.6608 0.6608 0.9948
Rh 0.2520 0.2520 0.2601
Rh 0.4135 0.4135 0.7415
Rh 0.5000 0.5000 0.5000
Rh 0.5865 0.5865 0.2585
Rh 0.7480 0.7480 0.7399

Results
**ΔE_f**: 0.01 eV/atom
**Spin magnetization**: 5.96 μB per formula unit
**Uncorrected energy**: -6.468 eV per atom
**V**: 13.26 Å³ per atom

# 2
A geometry-optimized NdLu2As structure, computed with PBE.

a = 3.7128 Å, b = 3.7128 Å, c = 31.1395 Å
α = 90.00°, β = 90.00°, γ = 120.00°
Fractional coordinates of all 12 atoms:
Nd 0.0000 0.0000 0.0000
Nd 0.3333 0.6667 0.6667
Nd 0.6667 0.3333 0.3333
Lu 0.0000 0.0000 0.1118
Lu 0.0000 0.0000 0.8882
Lu 0.3333 0.6667 0.5548
Lu 0.3333 0.6667 0.7785
Lu 0.6667 0.3333 0.2215
Lu 0.6667 0.3333 0.4452
As 0.0000 0.0000 0.5000
As 0.3333 0.6667 0.1667
As 0.6667 0.3333 0.8333

Results
**ΔE_f**: -0.38 eV/atom
**Spin magnetization**: 0.00 μB per formula unit
**Uncorrected energy**: -4.994 eV per atom
**V**: 30.98 Å³ per atom

# 3
A geometry-optimized Fe2Co structure, computed with PBE.

a = 7.0864 Å, b = 7.0864 Å, c = 2.4140 Å
α = 90.00°, β = 90.00°, γ = 120.00°
Fractional coordinates of all 9 atoms:
Fe 0.0000 0.3154 0.0000
Fe 0.0000 0.6490 0.5000
Fe 0.3154 0.0000 0.0000
Fe 0.3510 0.3510 0.5000
Fe 0.6490 0.0000 0.5000
Fe 0.6846 0.6846 0.0000
Co 0.0000 0.0000 0.5000
Co 0.3333 0.6667 0.0000
Co 0.6667 0.3333 0.0000

Results
**ΔE_f**: 0.13 eV/atom
**Spin magnetization**: 6.79 μB per formula unit
**Uncorrected energy**: -7.879 eV per atom
**V**: 11.66 Å³ per atom

# 4
A geometry-optimized CaZrGa2 structure, computed with PBE.

a = 3.2373 Å, b = 3.2373 Å, c = 8.0742 Å
α = 90.00°, β = 90.00°, γ = 90.00°
Fractional coordinates of all 4 atoms:
Ca 0.0000 0.0000 0.0000
Zr 0.0000 0.0000 0.5000
Ga 0.5000 0.5000 0.2673
Ga 0.5000 0.5000 0.7327

Results
**ΔE_f**: -0.43 eV/atom
**Spin magnetization**: 0.00 μB per formula unit
**Uncorrected energy**: -4.585 eV per atom
**V**: 21.15 Å³ per atom

# 5
A geometry-optimized PrHoSc2 structure, computed with PBE.

a = 3.9084 Å, b = 3.9084 Å, c = 7.5537 Å
α = 90.00°, β = 90.00°, γ = 90.00°
Fractional coordinates of all 4 atoms:
Pr 0.0000 0.0000 0.0000
Ho 0.0000 0.0000 0.5000
Sc 0.5000 0.5000 0.2598
Sc 0.5000 0.5000 0.7402

Results
**ΔE_f**: 0.08 eV/atom
**Spin magnetization**: 0.00 μB per formula unit
**Energy relative to the lowest polymorph listed for this composition**: 0.084 eV per formula unit
**Uncorrected energy**: -5.426 eV per atom
**V**: 28.85 Å³ per atom

# 6
A geometry-optimized Pr8Br13N3O structure, computed with PBE.

a = 11.9507 Å, b = 11.9507 Å, c = 17.3574 Å
α = 117.81°, β = 117.81°, γ = 42.05°
Fractional coordinates of all 50 atoms:
Pr 0.0074 0.5840 0.5026
Pr 0.0105 0.8600 0.1706
Pr 0.0290 0.9710 0.5000
Pr 0.0776 0.1801 0.7240
Pr 0.1087 0.5689 0.7269
Pr 0.1255 0.2615 0.0564
Pr 0.1801 0.0776 0.2240
Pr 0.2615 0.1255 0.5564
Pr 0.3038 0.6801 0.6693
Pr 0.4593 0.8085 0.0490
Pr 0.5689 0.1087 0.2269
Pr 0.5840 0.0074 0.0026
Pr 0.6801 0.3038 0.1693
Pr 0.8085 0.4593 0.5490
Pr 0.8600 0.0105 0.6706
Pr 0.9710 0.0290 0.0000
Br 0.1766 0.3525 0.2499
Br 0.1945 0.9349 0.3656
Br 0.2051 0.2918 0.9295
Br 0.2482 0.5725 0.4742
Br 0.2846 0.6797 0.9003
Br 0.2918 0.2051 0.4295
Br 0.3218 0.4594 0.1805
Br 0.3525 0.1766 0.7499
Br 0.3692 0.6959 0.1469
Br 0.4221 0.7730 0.5819
Br 0.4429 0.8190 0.8557
Br 0.4594 0.3218 0.6805
Br 0.5717 0.8632 0.2464
Br 0.5725 0.2482 0.9742
Br 0.6633 0.8198 0.5551
Br 0.6797 0.2846 0.4003
Br 0.6959 0.3692 0.6469
Br 0.7646 0.9579 0.4755
Br 0.7730 0.4221 0.0819
Br 0.8190 0.4429 0.3557
Br 0.8198 0.6633 0.0551
Br 0.8223 0.9376 0.7983
Br 0.8632 0.5717 0.7464
Br 0.9349 0.1945 0.8656
Br 0.9376 0.8223 0.2983
Br 0.9579 0.7646 0.9755
N 0.0391 0.1866 0.5762
N 0.0718 0.7059 0.6457
N 0.0773 0.9604 0.6493
N 0.1866 0.0391 0.0762
N 0.7059 0.0718 0.1457
N 0.9604 0.0773 0.1493
O 0.0497 0.4327 0.5809
O 0.4327 0.0497 0.0809

Results
**Spin magnetization**: 0.00 μB per formula unit
**Formation energy from raw total energies**: -1.9395 eV per atom
**Uncorrected energy**: -5.536 eV per atom
**V**: 28.76 Å³ per atom